! Ce2AsPb PBE-GGA relaxed; values from VASP
&SYSTEM
  ibrav = 0, nat = 4, ntyp = 3
/
ATOMIC_SPECIES
As 74.92 As.upf
Ce 140.12 Ce.upf
Pb 207.20 Pb.upf
CELL_PARAMETERS angstrom
4.075 0.000 0.000
2.037 3.529 0.000
2.037 1.176 8.393
ATOMIC_POSITIONS crystal
As 0.667 0.667 0.998
Ce 0.069 0.069 0.792
Ce 0.264 0.264 0.208
Pb 0.499 0.499 0.502
! **Calculated density**: 7.7 g cm⁻³
! **Energy of formation**: -0.7813 eV/atom
! **Polymorph energy (0 for the lowest one)**: 63 meV/atom